Below is an optimized crystal structure of Ba2Ac2Sn3, with properties calculated at the GGA-PBE level.

Output
formation energy = -0.526 eV per atom
Fermi-level density of states = 6.22 states/eV per cell
DFT total energy = -3.964 eV per atom
V = 41.0 A^3/atom

Unit cell a=4.9601 b=7.9961 c=8.6728 alpha=117.19 beta=90.00 gamma=108.07
With the nearest neighbours (Å) after each atom.
Element x y z (fractional)
Ba 0.1151 0.2301 0.7740  4 Sn 3.58-3.68, 1 Ac 3.93
Ba 0.8849 0.7699 0.2260  4 Sn 3.58-3.68, 1 Ac 3.93
Sn 0.5856 0.1712 0.4543  1 Sn 3.06, 2 Ac 3.36
Sn 0.5000 0.0000 0.0000  4 Ac 3.47, 2 Sn 3.51
Sn 0.4144 0.8288 0.5457  1 Sn 3.06, 2 Ac 3.36
Ac 0.8438 0.6876 0.7241  5 Sn 3.36-3.47
Ac 0.1562 0.3124 0.2759  5 Sn 3.36-3.47